Computed, not measured: an optimized crystal structure of Tb2Ga3Cu4Si at the PBE level of DFT.

extended XYZ file:
```
10
Lattice="4.124 0.000 0.000 0.000 4.124 0.000 0.000 0.000 9.977" Properties=species:S:1:pos:R:3 pbc="T T T"
Tb 0.000 2.062 2.476
Tb 2.062 0.000 7.501
Ga 0.000 0.000 0.000
Ga 0.000 2.062 6.312
Ga 2.062 0.000 3.665
Cu 0.000 0.000 4.989
Cu 0.000 2.062 8.708
Cu 2.062 0.000 1.269
Cu 2.062 2.062 4.989
Si 2.062 2.062 0.000
```

Summary:
Electronic total energy (eV/cell): -44.53

Computed, not measured: an optimized crystal structure of Tb2GaCu4Si3 at the PBE level of DFT.

extended XYZ file:
```
10
Lattice="4.008 0.000 0.000 0.000 4.008 0.000 0.000 0.000 10.074" Properties=species:S:1:pos:R:3 pbc="T T T"
Tb 0.000 2.004 2.445
Tb 2.004 0.000 7.629
Ga 0.000 0.000 5.037
Cu 0.000 0.000 0.000
Cu 0.000 2.004 6.437
Cu 2.004 0.000 3.637
Cu 2.004 2.004 0.000
Si 0.000 2.004 8.763
Si 2.004 0.000 1.312
Si 2.004 2.004 5.037
```

Summary:
Electronic total energy (eV/cell): -50.35

Computed, not measured: an optimized crystal structure of TiGaCuSi at the PBE level of DFT.

extended XYZ file:
```
8
Lattice="3.687 0.000 0.000 0.000 3.687 0.000 0.000 0.000 8.516" Properties=species:S:1:pos:R:3 pbc="T T T"
Ti 0.922 0.922 2.108
Ti 2.765 2.765 6.408
Ga 0.922 2.765 4.258
Ga 2.765 0.922 4.258
Cu 0.922 2.765 0.000
Cu 2.765 0.922 0.000
Si 0.922 0.922 6.854
Si 2.765 2.765 1.663
```

Summary:
Electronic total energy (eV/cell): -43.85

Computed, not measured: an optimized crystal structure of Tm2GaCu4Si3 at the PBE level of DFT.

extended XYZ file:
```
10
Lattice="3.965 0.000 0.000 0.000 3.965 0.000 0.000 0.000 10.057" Properties=species:S:1:pos:R:3 pbc="T T T"
Tm 0.000 1.982 2.423
Tm 1.982 0.000 7.634
Ga 0.000 0.000 5.028
Cu 0.000 0.000 0.000
Cu 0.000 1.982 6.439
Cu 1.982 0.000 3.618
Cu 1.982 1.982 0.000
Si 0.000 1.982 8.735
Si 1.982 0.000 1.322
Si 1.982 1.982 5.028
```

Summary:
Electronic total energy (eV/cell): -49.72

Computed, not measured: an optimized crystal structure of VGaCuSi2 at the PBE level of DFT.

extended XYZ file:
```
5
Lattice="4.616 0.000 0.000 0.000 4.616 0.000 0.000 0.000 4.739" Properties=species:S:1:pos:R:3 pbc="T T T"
V 0.000 0.000 0.000
Ga 2.308 2.308 2.369
Cu 0.000 0.000 2.369
Si 0.000 2.308 0.000
Si 2.308 0.000 0.000
```

Summary:
Electronic total energy (eV/cell): -23.53

Computed, not measured: an optimized crystal structure of Y2GaCu4Si3 at the PBE level of DFT.

extended XYZ file:
```
10
Lattice="3.999 0.000 0.000 0.000 3.999 0.000 0.000 0.000 10.105" Properties=species:S:1:pos:R:3 pbc="T T T"
Y 0.000 1.999 2.448
Y 1.999 0.000 7.657
Ga 0.000 0.000 5.052
Cu 0.000 0.000 0.000
Cu 0.000 1.999 6.462
Cu 1.999 0.000 3.643
Cu 1.999 1.999 0.000
Si 0.000 1.999 8.786
Si 1.999 0.000 1.319
Si 1.999 1.999 5.052
```

Summary:
Electronic total energy (eV/cell): -54.00